(1)
Hf2ZrPt: relaxed, PBE.

```
Hf2ZrPt
1.0
2.2772 1.3147 5.0410
-2.2772 1.3147 5.0410
0.0000 -2.6295 5.0410
Hf Zr Pt
2 1 1
Cartesian
0.0000 0.0000 0.0000
0.0000 0.0000 3.1990
0.0000 0.0000 6.4826
0.0000 0.0000 9.2932
```

Values from the calculation:
* volume: 90.6 Å³/cell
* calculated formation energy: -0.85 eV per formula unit
* calculated total energy: -8.84 eV per atom
* theoretical density: 11.80 g/cm3
* energy above the most stable polymorph in this dataset: 0.344 eV per atom

---

(2)
HfZr2Pt2: relaxed, PBE.

```
HfZr2Pt2
1.0
10.0779 0.0000 0.0000
0.0000 6.5450 0.0000
0.0000 0.0000 6.5233
Hf Zr Pt
4 8 8
Cartesian
1.8107 1.6363 0.0000
1.8107 1.6363 3.2616
8.2671 4.9088 0.0000
8.2671 4.9088 3.2616
1.7518 4.9088 0.0000
1.7518 4.9088 3.2616
5.0229 4.9088 0.0000
5.0229 4.9088 3.2616
5.0550 1.6363 0.0000
5.0550 1.6363 3.2616
8.3261 1.6363 0.0000
8.3261 1.6363 3.2616
0.3782 0.0941 1.6308
0.3782 3.1784 4.8925
3.4055 0.0345 4.8925
3.4055 3.2380 1.6308
6.6724 3.3070 4.8925
6.6724 6.5105 1.6308
9.6997 3.3666 1.6308
9.6997 6.4509 4.8925
```

Values from the calculation:
* volume: 430.3 Å³/cell
* calculated formation energy: -3.61 eV per formula unit
* calculated total energy: -8.55 eV per atom
* theoretical density: 11.59 g/cm3
* energy above the most stable polymorph in this dataset: 0.125 eV per atom

---

(3)
Hf2ZrPt2: relaxed, PBE.

```
Hf2ZrPt2
1.0
7.6612 0.0000 0.0000
0.0000 7.6612 0.0000
0.0000 0.0000 3.3580
Hf Zr Pt
4 2 4
Cartesian
1.2734 2.5572 0.0000
2.5572 6.3877 0.0000
5.1040 1.2734 0.0000
6.3877 5.1040 0.0000
0.0000 0.0000 1.6790
3.8306 3.8306 1.6790
1.0061 4.8367 1.6790
2.8244 1.0061 1.6790
4.8367 6.6550 1.6790
6.6550 2.8244 1.6790
```

Values from the calculation:
* volume: 197.1 Å³/cell
* calculated formation energy: -4.46 eV per formula unit
* calculated total energy: -9.00 eV per atom
* theoretical density: 14.13 g/cm3
* energy above the most stable polymorph in this dataset: 0.000 eV per atom

---

(4)
Hf2ZrPt2: relaxed, PBE.

```
Hf2ZrPt2
1.0
7.8655 0.0000 0.0000
0.0000 7.8655 0.0000
0.0000 0.0000 3.1452
Hf Zr Pt
4 2 4
Cartesian
1.2196 2.7132 0.0000
2.7132 6.6459 0.0000
5.1523 1.2196 0.0000
6.6459 5.1523 0.0000
0.0000 0.0000 0.0000
3.9328 3.9328 0.0000
1.1265 5.0593 1.5726
2.8062 1.1265 1.5726
5.0593 6.7390 1.5726
6.7390 2.8062 1.5726
```

Values from the calculation:
* volume: 194.6 Å³/cell
* calculated formation energy: -3.63 eV per formula unit
* calculated total energy: -8.83 eV per atom
* theoretical density: 14.31 g/cm3
* energy above the most stable polymorph in this dataset: 0.166 eV per atom

---

(5)
HfZr2Pt: relaxed, PBE.

```
HfZr2Pt
1.0
4.1909 0.0000 0.0000
0.0000 4.1909 0.0000
0.0000 0.0000 4.6097
Hf Zr Pt
1 2 1
Cartesian
0.0000 0.0000 0.0000
0.0000 2.0954 2.3048
2.0954 0.0000 2.3048
2.0954 2.0954 0.0000
```

Values from the calculation:
* volume: 81.0 Å³/cell
* calculated formation energy: -1.72 eV per formula unit
* calculated total energy: -8.70 eV per atom
* theoretical density: 11.40 g/cm3
* energy above the most stable polymorph in this dataset: 0.099 eV per atom

---

(6)
PuHf5: relaxed, PBE.

```
PuHf5
1.0
2.7322 -4.7680 0.0000
2.7322 4.7680 0.0000
-1.7773 0.0000 5.1780
Pu Hf
1 5
Cartesian
0.0000 0.0000 0.0000
1.8435 3.1481 2.5890
2.7322 1.5831 0.0000
1.8435 0.0000 2.5890
2.7322 -1.5831 0.0000
1.8435 -3.1481 2.5890
```

Values from the calculation:
* volume: 134.9 Å³/cell
* calculated formation energy: 0.35 eV per formula unit
* calculated total energy: -10.62 eV per atom
* theoretical density: 13.99 g/cm3

---

(7)
PuHf: relaxed, PBE.

```
PuHf
1.0
3.2722 0.0000 0.0000
0.0000 3.2722 0.0000
0.0000 0.0000 7.6645
Pu Hf
2 2
Cartesian
0.8180 0.8180 0.4273
2.4541 2.4541 7.2372
0.8180 0.8180 4.8638
2.4541 2.4541 2.8008
```

Values from the calculation:
* volume: 82.1 Å³/cell
* calculated formation energy: 0.36 eV per formula unit
* calculated total energy: -11.96 eV per atom
* theoretical density: 17.10 g/cm3
* energy above the most stable polymorph in this dataset: 0.000 eV per atom

---

(8)
PuHf3: relaxed, PBE.

```
PuHf3
1.0
4.4991 0.0000 0.0000
0.0000 4.4991 0.0000
0.0000 0.0000 4.4991
Pu Hf
1 3
Cartesian
0.0000 0.0000 0.0000
0.0000 2.2495 2.2495
2.2495 0.0000 2.2495
2.2495 2.2495 0.0000
```

Values from the calculation:
* volume: 91.1 Å³/cell
* calculated formation energy: 0.35 eV per formula unit
* calculated total energy: -10.96 eV per atom
* theoretical density: 14.21 g/cm3
* energy above the most stable polymorph in this dataset: 0.021 eV per atom

---

(9)
PuHf4: relaxed, PBE.

```
PuHf4
1.0
4.9711 0.0000 0.0000
0.0000 4.9711 0.0000
0.0000 0.0000 4.9711
Pu Hf
1 4
Cartesian
0.0000 0.0000 0.0000
0.0000 0.0000 2.4855
0.0000 2.4855 0.0000
2.4855 0.0000 0.0000
2.4855 2.4855 2.4855
```

Values from the calculation:
* volume: 122.8 Å³/cell
* calculated formation energy: 4.81 eV per formula unit
* calculated total energy: -9.87 eV per atom
* theoretical density: 12.95 g/cm3
* energy above the most stable polymorph in this dataset: 0.721 eV per atom

---

(10)
PuHf5: relaxed, PBE.

```
PuHf5
1.0
2.2539 -6.6747 0.0000
2.2539 6.6747 0.0000
0.0000 0.0000 4.4920
Pu Hf
1 5
Cartesian
0.0000 0.0000 0.0000
2.2539 4.4456 2.2460
2.2539 2.2118 0.0000
2.2539 0.0000 2.2460
2.2539 -2.2118 0.0000
2.2539 -4.4456 2.2460
```

Values from the calculation:
* volume: 135.2 Å³/cell
* calculated formation energy: 0.40 eV per formula unit
* calculated total energy: -10.62 eV per atom
* theoretical density: 13.96 g/cm3

---

(11)
PuHf5: relaxed, PBE.

```
PuHf5
1.0
5.8197 -1.5964 0.0000
5.8197 1.5964 0.0000
-1.8151 0.0000 7.3533
Pu Hf
1 5
Cartesian
0.0000 0.0000 0.0000
3.0857 0.0000 0.3994
2.6997 0.0000 4.9121
5.8305 0.0000 5.2438
7.1708 0.0000 2.4795
10.2903 0.0000 2.8573
```

Values from the calculation:
* volume: 136.6 Å³/cell
* calculated formation energy: 0.32 eV per formula unit
* calculated total energy: -10.63 eV per atom
* theoretical density: 13.81 g/cm3

---

(12)
PuHf3: relaxed, PBE.

```
PuHf3
1.0
6.3996 0.0000 0.0000
-3.1998 5.5422 0.0000
0.0000 0.0000 5.1756
Pu Hf
2 6
Cartesian
0.0000 3.6948 1.2939
3.1998 1.8474 3.8817
0.0000 1.8148 3.8817
-1.6281 4.6348 3.8817
1.5717 0.9074 1.2939
1.6281 4.6348 3.8817
4.8279 0.9074 1.2939
3.1998 3.7274 1.2939
```

Values from the calculation:
* volume: 183.6 Å³/cell
* calculated formation energy: 0.38 eV per formula unit
* calculated total energy: -10.95 eV per atom
* theoretical density: 14.10 g/cm3
* energy above the most stable polymorph in this dataset: 0.028 eV per atom

---

(13)
Pu2Hf: relaxed, PBE.

```
Pu2Hf
1.0
-1.6250 1.6250 5.5103
1.6250 -1.6250 5.5103
1.6250 1.6250 -5.5103
Pu Hf
2 1
Cartesian
0.0000 0.0000 2.2785
0.0000 0.0000 8.7421
0.0000 0.0000 5.5103
```

Values from the calculation:
* volume: 58.2 Å³/cell
* calculated formation energy: 0.75 eV per formula unit
* calculated total energy: -12.62 eV per atom
* theoretical density: 19.02 g/cm3
* energy above the most stable polymorph in this dataset: 0.000 eV per atom

---

(14)
PuHf3: relaxed, PBE.

```
PuHf3
1.0
3.1745 0.0000 0.0000
0.0000 5.1501 0.0000
0.0000 0.0000 5.6118
Pu Hf
1 3
Cartesian
0.0000 0.0000 0.0000
0.0000 2.5751 1.8368
1.5872 0.0000 2.8146
1.5872 2.5751 4.5728
```

Values from the calculation:
* volume: 91.7 Å³/cell
* calculated formation energy: 0.32 eV per formula unit
* calculated total energy: -10.97 eV per atom
* theoretical density: 14.11 g/cm3
* energy above the most stable polymorph in this dataset: 0.013 eV per atom

---

(15)
Pu3Hf: relaxed, PBE.

```
Pu3Hf
1.0
3.2686 0.0000 0.0000
0.0000 3.3472 0.0000
0.0000 0.0000 8.0506
Pu Hf
3 1
Cartesian
0.0000 0.0000 0.0000
0.0000 1.6736 2.4295
1.6343 1.6736 7.1827
1.6343 0.0000 4.7080
```

Values from the calculation:
* volume: 88.1 Å³/cell
* calculated formation energy: 1.73 eV per formula unit
* calculated total energy: -12.81 eV per atom
* theoretical density: 17.17 g/cm3
* energy above the most stable polymorph in this dataset: 0.221 eV per atom

---

(16)
Pu3Hf: relaxed, PBE.

```
Pu3Hf
1.0
-2.3201 2.3201 4.5772
2.3201 -2.3201 4.5772
2.3201 2.3201 -4.5772
Pu Hf
3 1
Cartesian
0.0000 0.0000 0.0000
2.3201 0.0000 2.2886
0.0000 2.3201 2.2886
0.0000 0.0000 4.5772
```

Values from the calculation:
* volume: 98.6 Å³/cell
* calculated formation energy: 1.06 eV per formula unit
* calculated total energy: -12.97 eV per atom
* theoretical density: 15.34 g/cm3
* energy above the most stable polymorph in this dataset: 0.053 eV per atom

---

(17)
Pu3Hf: relaxed, PBE.

```
Pu3Hf
1.0
-1.5630 5.2325 2.8552
1.5630 -5.2325 2.8552
1.5630 5.2325 -2.8552
Pu Hf
3 1
Cartesian
0.0000 0.0000 0.0000
1.5630 2.8049 1.3927
0.0000 2.4276 4.2479
1.5630 0.0000 2.8166
```

Values from the calculation:
* volume: 93.4 Å³/cell
* calculated formation energy: 0.84 eV per formula unit
* calculated total energy: -13.03 eV per atom
* theoretical density: 16.19 g/cm3
* energy above the most stable polymorph in this dataset: 0.000 eV per atom

---

(18)
PuHf4: relaxed, PBE.

```
PuHf4
1.0
-2.4286 3.0909 3.9398
2.4286 -3.0909 3.9398
2.4286 3.0909 -3.9398
Pu Hf
1 4
Cartesian
0.0000 0.0000 0.0000
2.4286 1.6828 0.0000
2.4286 0.0000 2.4852
0.0000 3.0909 1.4546
0.0000 1.4082 3.9398
```

Values from the calculation:
* volume: 118.3 Å³/cell
* calculated formation energy: 1.20 eV per formula unit
* calculated total energy: -10.59 eV per atom
* theoretical density: 13.45 g/cm3
* energy above the most stable polymorph in this dataset: 0.000 eV per atom

---

(19)
Pu4Hf: relaxed, PBE.

```
Pu4Hf
1.0
5.4718 0.0000 0.0000
0.0000 5.4718 0.0000
0.0000 0.0000 5.4718
Pu Hf
4 1
Cartesian
0.0000 0.0000 0.0000
0.0000 2.7359 2.7359
2.7359 0.0000 2.7359
2.7359 2.7359 0.0000
2.7359 2.7359 2.7359
```

Values from the calculation:
* volume: 163.8 Å³/cell
* calculated formation energy: 5.06 eV per formula unit
* calculated total energy: -12.45 eV per atom
* theoretical density: 11.70 g/cm3

---

(20)
PuHf3: relaxed, PBE.

```
PuHf3
1.0
-1.5917 5.1620 2.7954
1.5917 -5.1620 2.7954
1.5917 5.1620 -2.7954
Pu Hf
1 3
Cartesian
0.0000 0.0000 0.0000
1.5917 2.6372 0.9898
1.5917 0.0000 2.7532
0.0000 2.5249 3.7852
```

Values from the calculation:
* volume: 91.9 Å³/cell
* calculated formation energy: 0.35 eV per formula unit
* calculated total energy: -10.96 eV per atom
* theoretical density: 14.09 g/cm3
* energy above the most stable polymorph in this dataset: 0.023 eV per atom